! Li2CeSmTe4 | Alexandria | PBE | relaxed; values from VASP
! space group	P2/m
! energy relative to the elements, uncorrected	-1.2611	eV/atom
&SYSTEM
  ibrav = 0, nat = 8, ntyp = 4
/
ATOMIC_SPECIES
Te 127.60 Te.upf
Li 6.94 Li.upf
Sm 150.36 Sm.upf
Ce 140.12 Ce.upf
ATOMIC_POSITIONS angstrom
Te 2.225 1.273 1.874
Te 0.000 -0.062 5.229
Te 2.225 3.746 5.284
Te 0.000 5.081 1.929
Li 2.225 -1.340 3.512
Li 0.000 2.509 3.579
Sm 2.225 3.849 0.067
Ce 0.000 0.000 0.000
CELL_PARAMETERS angstrom
4.450 0.000 0.000
0.000 7.699 0.133
0.000 -2.680 7.025

---

! La3W2 | Alexandria | PBE | relaxed; values from VASP
! space group	R-3m
! ΔE_f	0.9431	eV/atom
! energy above the most stable polymorph in this dataset	296	meV/atom
&SYSTEM
  ibrav = 0, nat = 5, ntyp = 2
/
ATOMIC_SPECIES
La 138.91 La.upf
W 183.84 W.upf
ATOMIC_POSITIONS angstrom
La -10.128 10.240 -25.598
La -2.708 2.738 -6.845
La 0.000 0.000 0.000
W -5.082 5.138 -12.844
W -7.754 7.840 -19.599
CELL_PARAMETERS angstrom
-2.771 3.423 -11.772
-6.003 3.353 -10.521
-4.062 6.201 -10.150

---

! Tm3Sc2S4 | Alexandria | PBE | relaxed; values from VASP
! space group	P-3m1
! energy relative to the elements, uncorrected	-1.6843	eV/atom
&SYSTEM
  ibrav = 0, nat = 9, ntyp = 3
/
ATOMIC_SPECIES
Sc 44.96 Sc.upf
S 32.06 S.upf
Tm 168.93 Tm.upf
ATOMIC_POSITIONS angstrom
Sc 5.265 -9.466 6.072
Sc -0.337 -3.025 2.296
S 2.008 -3.858 1.531
S 4.278 -11.895 5.817
S 4.687 -9.008 3.575
S 0.649 -0.596 2.551
Tm 2.679 -4.497 4.100
Tm 2.248 -7.994 4.268
Tm 0.000 0.000 0.000
CELL_PARAMETERS angstrom
1.588 1.925 2.769
-3.355 -1.550 0.492
6.694 -12.866 5.107

---

! Sm2SbHO | Alexandria | PBE | relaxed; values from VASP
! space group	I-4m2
! VASP energy	-30.79	eV for the cell shown
&SYSTEM
  ibrav = 0, nat = 5, ntyp = 4
/
ATOMIC_SPECIES
O 16.00 O.upf
H 1.01 H.upf
Sm 150.36 Sm.upf
Sb 121.76 Sb.upf
ATOMIC_POSITIONS angstrom
O 0.000 1.972 3.125
H 1.972 0.000 3.125
Sm 1.972 1.972 1.876
Sm 0.000 0.000 4.374
Sb 0.000 0.000 0.000
CELL_PARAMETERS angstrom
3.944 0.000 0.000
0.000 3.944 0.000
-1.972 -1.972 6.250

---

! ZrPbIO2 | Alexandria | PBE | relaxed; values from VASP
! space group	P4/mmm
! energy relative to the elements, uncorrected	0.1463	eV/atom
! energy above the most stable polymorph in this dataset	1404	meV/atom
&SYSTEM
  ibrav = 0, nat = 5, ntyp = 4
/
ATOMIC_SPECIES
O 16.00 O.upf
Pb 207.20 Pb.upf
Zr 91.22 Zr.upf
I 126.90 I.upf
ATOMIC_POSITIONS angstrom
O 0.000 0.000 2.085
O 2.085 0.000 0.000
Pb 2.085 2.996 2.085
Zr 0.000 2.996 0.000
I 0.000 0.000 0.000
CELL_PARAMETERS angstrom
4.170 0.000 0.000
0.000 5.993 0.000
0.000 0.000 4.170

---

! Nd4TlSnC | Alexandria | PBE | relaxed; values from VASP
! space group	Cmcm
! ΔE_f	-0.3760	eV/atom
&SYSTEM
  ibrav = 0, nat = 14, ntyp = 4
/
ATOMIC_SPECIES
Sn 118.71 Sn.upf
Nd 144.24 Nd.upf
C 12.01 C.upf
Tl 204.38 Tl.upf
ATOMIC_POSITIONS angstrom
Sn 3.573 5.359 6.284
Sn 0.000 1.786 1.851
Nd 3.573 1.786 1.416
Nd -1.786 3.573 4.067
Nd 1.786 0.000 4.067
Nd 0.000 5.359 6.718
Nd 3.573 1.786 6.727
Nd -1.786 0.000 4.067
Nd 1.786 3.573 4.067
Nd 0.000 5.359 1.407
C 3.573 1.786 4.047
C 0.000 5.359 4.087
Tl 0.000 1.786 6.293
Tl 3.573 5.359 1.842
CELL_PARAMETERS angstrom
7.146 0.000 0.000
0.000 7.145 0.000
-3.573 0.000 8.134

---

! YTeOs2 | Alexandria | PBE | relaxed; values from VASP
! space group	Cmmm
! energy relative to the elements, uncorrected	0.8197	eV/atom
&SYSTEM
  ibrav = 0, nat = 4, ntyp = 3
/
ATOMIC_SPECIES
Os 190.23 Os.upf
Y 88.91 Y.upf
Te 127.60 Te.upf
ATOMIC_POSITIONS angstrom
Os 0.000 0.000 9.270
Os 0.000 0.000 4.684
Y 0.883 1.366 6.977
Te 0.883 1.366 2.326
CELL_PARAMETERS angstrom
3.026 -0.019 0.000
-1.261 2.751 0.000
0.000 0.000 9.302

---

! CdBPt3 | Alexandria | PBE | relaxed; values from VASP
! space group	C2/m
! ΔE_f	-0.1579	eV/atom
! energy above the most stable polymorph in this dataset	194	meV/atom
&SYSTEM
  ibrav = 0, nat = 10, ntyp = 3
/
ATOMIC_SPECIES
Cd 112.41 Cd.upf
Pt 195.08 Pt.upf
B 10.81 B.upf
ATOMIC_POSITIONS angstrom
Cd 2.103 -18.979 7.159
Cd -2.021 5.509 0.835
Pt -1.388 -4.708 4.016
Pt -1.500 2.851 1.485
Pt 1.049 -6.001 3.243
Pt -0.967 -7.469 4.751
Pt 1.470 -8.762 3.978
Pt 1.583 -16.320 6.509
B -2.623 -2.201 3.774
B 2.705 -11.269 4.220
CELL_PARAMETERS angstrom
-1.168 -14.328 5.488
3.337 -5.981 2.094
-2.087 6.839 0.412

---

! Ca2YF | Alexandria | PBE | relaxed; values from VASP
! space group	Fm-3m
! energy relative to the elements, uncorrected	-0.1366	eV/atom
! energy above the most stable polymorph in this dataset	1060	meV/atom
&SYSTEM
  ibrav = 0, nat = 4, ntyp = 3
/
ATOMIC_SPECIES
F 19.00 F.upf
Y 88.91 Y.upf
Ca 40.08 Ca.upf
ATOMIC_POSITIONS angstrom
F 0.000 0.000 0.000
Y -6.112 -3.329 1.259
Ca -9.168 -4.994 1.888
Ca -3.056 -1.665 0.629
CELL_PARAMETERS angstrom
-2.491 -5.153 0.772
-4.387 -0.559 3.714
-5.346 -0.947 -1.968

---

! Pu2BePd9 | Alexandria | PBE | relaxed; values from VASP
! space group	P4/mmm
! ΔE_f	-0.4048	eV/atom
&SYSTEM
  ibrav = 0, nat = 12, ntyp = 3
/
ATOMIC_SPECIES
Pd 106.42 Pd.upf
Pu 244.00 Pu.upf
Be 9.01 Be.upf
ATOMIC_POSITIONS angstrom
Pd -5.296 0.492 3.174
Pd -4.724 -0.494 0.490
Pd -2.419 0.540 -0.998
Pd -8.005 1.181 2.340
Pd -1.999 -1.191 1.314
Pd -8.594 2.176 5.034
Pd -9.015 3.907 2.722
Pd -1.716 -2.029 -1.207
Pd -5.717 2.224 0.862
Pu -2.973 1.517 1.676
Pu -6.324 3.228 3.567
Be 0.000 0.000 0.000
CELL_PARAMETERS angstrom
-2.137 -0.298 -3.519
-1.296 -3.760 1.105
-9.297 4.745 5.243

---

! DyEr3Mg | Alexandria | PBE | relaxed; values from VASP
! space group	C2/m
! ΔE_f	-0.0161	eV/atom
! energy above the most stable polymorph in this dataset	0	meV/atom
&SYSTEM
  ibrav = 0, nat = 10, ntyp = 3
/
ATOMIC_SPECIES
Er 167.26 Er.upf
Mg 24.30 Mg.upf
Dy 162.50 Dy.upf
ATOMIC_POSITIONS angstrom
Er 1.789 5.859 2.885
Er 1.791 1.683 0.394
Er 3.580 1.792 7.525
Er 3.579 4.414 13.073
Er 1.789 4.305 5.942
Er 3.581 0.238 10.582
Mg 1.788 0.738 4.987
Mg 3.582 5.359 8.480
Dy 1.790 3.173 10.232
Dy 3.580 2.924 3.235
CELL_PARAMETERS angstrom
3.582 0.000 0.000
1.791 6.321 0.481
-0.002 -0.224 12.985

---

! Sc2Ni2As | Alexandria | PBE | relaxed; values from VASP
! space group	I4/mmm
! ΔE_f	-0.4960	eV/atom
! energy above the most stable polymorph in this dataset	150	meV/atom
&SYSTEM
  ibrav = 0, nat = 5, ntyp = 3
/
ATOMIC_SPECIES
Ni 58.69 Ni.upf
Sc 44.96 Sc.upf
As 74.92 As.upf
ATOMIC_POSITIONS angstrom
Ni 1.527 2.021 4.621
Ni 1.147 3.992 3.243
Sc 2.504 4.337 5.513
Sc 0.170 1.676 2.351
As 0.000 0.000 0.000
CELL_PARAMETERS angstrom
-1.556 3.034 0.469
-0.796 -0.907 3.223
5.027 3.886 4.172